Compound: K2BaVO4
Source: Alexandria via LeMat-Bulk
Functional: PBE with a Hubbard U
Structure: relaxed

Values from the calculation:
The final energy is -5.90 eV per atom. The value obtained for the total magnetization is 1.0 μB per formula unit. The value obtained for the mass density is 3.22 Mg/m³.

a b c (Å): 7.7951 7.8062 11.2031
angles (deg): 90.00 90.00 90.00
With the nearest neighbours (Å) after each atom.
Space group Fmm2 (No. 42)
Asymmetric unit:
K1 0.2500 0.2500 0.0000 (multiplicity 8)  4 O 2.66
Ba1 0.0000 0.0000 0.2502 (multiplicity 4)  4 O 2.60
V1 0.0000 0.0000 0.7499 (multiplicity 4)  4 O 1.84
O1 0.0000 0.1949 0.8426 (multiplicity 8)  1 V 1.84
O2 0.1952 0.0000 0.6569 (multiplicity 8)  1 V 1.84